Record 1
! DyCuPd (PBE, relaxed); values from VASP
! Space-group type: I4mm, No. 107
! Crystal system: tetragonal
! Final energy: -5.15 eV per atom
&SYSTEM
  ibrav = 0, nat = 6, ntyp = 3
/
ATOMIC_SPECIES
Dy 162.50 Dy.upf
Cu 63.55 Cu.upf
Pd 106.42 Pd.upf
CELL_PARAMETERS angstrom
3.5613 0.0000 0.0000
0.0000 3.5613 0.0000
0.0000 0.0000 8.8322
ATOMIC_POSITIONS crystal
Dy 0.0000 0.0000 0.0000
Dy 0.5000 0.5000 0.5000
Cu 0.0000 0.0000 0.6752
Cu 0.5000 0.5000 0.1752
Pd 0.0000 0.0000 0.3303
Pd 0.5000 0.5000 0.8303

---

Record 2
! Dy2TmPb (PBE, relaxed); values from VASP
! Space-group type: P2_1/m, No. 11
! Crystal system: monoclinic
! Final energy: -4.58 eV per atom
&SYSTEM
  ibrav = 0, nat = 8, ntyp = 3
/
ATOMIC_SPECIES
Dy 162.50 Dy.upf
Tm 168.93 Tm.upf
Pb 207.20 Pb.upf
CELL_PARAMETERS angstrom
3.6098 0.0000 0.0000
0.0000 10.4171 0.0000
-1.8047 0.0000 6.3353
ATOMIC_POSITIONS crystal
Dy 0.1310 0.0261 0.2629
Dy 0.1310 0.4739 0.2629
Dy 0.8690 0.5261 0.7371
Dy 0.8690 0.9739 0.7371
Tm 0.4611 0.2500 0.9231
Tm 0.5389 0.7500 0.0769
Pb 0.2591 0.7500 0.5164
Pb 0.7409 0.2500 0.4836

---

Taking the records one at a time from the top gives E above lowest polymorph values of 0.097, 0.031 eV/atom.